[1]
An optimized crystal structure of InTe2Pt. Source: Alexandria via LeMat-Bulk, functional PBE-GGA.

- Total moment: 0.00 μB per formula unit
- SG: No. 166
- VASP energy: -3.601 eV/atom
- Uncorrected formation energy: 0.164 eV per atom

```
InTe2Pt
1.0
7.069 7.185 6.154
8.511 7.492 3.302
5.992 9.343 4.035
Pt Te In
1 2 1
direct
0.000 0.000 0.000 Pt
0.074 0.074 0.074 Te
0.926 0.926 0.926 Te
0.500 0.500 0.500 In
```


[2]
An optimized crystal structure of NaLiIn2. Source: Alexandria via LeMat-Bulk, functional PBE-GGA.

- Total moment: 0.00 μB per formula unit
- SG: No. 123
- Energy of formation: -0.132 eV/atom
- Energy above the lowest structure with this stoichiometry: 0.0 meV/atom
- VASP energy: -2.310 eV/atom

```
NaLiIn2
1.0
4.490 0.000 0.000
0.000 4.601 0.000
0.000 0.000 4.601
Na In Li
1 2 1
direct
0.500 0.500 0.500 Na
0.000 0.500 0.000 In
0.000 0.000 0.500 In
0.500 0.000 0.000 Li
```


[3]
An optimized crystal structure of Ga2Hg3Pb3. Source: Alexandria via LeMat-Bulk, functional PBE-GGA.

- Total moment: 0.00 μB per formula unit
- SG: No. 63
- Energy of formation: 0.048 eV/atom
- VASP energy: -2.213 eV/atom

```
Ga2Hg3Pb3
1.0
4.691 0.000 0.000
-2.345 5.802 0.000
0.000 0.000 15.548
Pb Hg Ga
6 6 4
direct
0.062 0.125 0.617 Pb
0.938 0.875 0.117 Pb
0.062 0.125 0.883 Pb
0.645 0.290 0.250 Pb
0.938 0.875 0.383 Pb
0.355 0.710 0.750 Pb
0.628 0.256 0.750 Hg
0.372 0.744 0.250 Hg
0.371 0.741 0.972 Hg
0.629 0.259 0.028 Hg
0.371 0.741 0.528 Hg
0.629 0.259 0.472 Hg
0.788 0.576 0.613 Ga
0.212 0.424 0.387 Ga
0.788 0.576 0.887 Ga
0.212 0.424 0.113 Ga
```